# 1
Pm2IrN | PBE | relaxed

It has space group R-3m (No. 166, hexagonal axes), with a = 3.7425 Å, b = 3.7425 Å, c = 20.2068 Å, α = 90.00°, β = 90.00° and γ = 120.00°. Symmetry generates all atoms from Pm at (0.0000, 0.0000, 0.2379), Ir at (0.0000, 0.0000, 0.0000) and N at (0.0000, 0.0000, 0.5000).

The polymorph energy (0 for the lowest one) comes out at 0.0 meV/atom. As for the uncorrected formation energy: -758 meV/atom. For the total moment, the calculation gives 0.0 μB/cell. For the total energy, the calculation gives -7.43 eV/atom.

=====

# 2
Pm6Ir2N | PBE | relaxed

It has space group P2_1/c (No. 14), with a = 6.595 Å, b = 7.281 Å, c = 11.565 Å, α = 90.00°, β = 122.79° and γ = 90.00°. Symmetry generates all atoms from Pm at (0.116, 0.041, 0.241), Pm at (0.237, 0.690, 0.064), Pm at (0.368, 0.170, 0.058), Ir at (0.301, 0.101, 0.757) and N at (0.000, 0.000, 0.000).

The polymorph energy (0 for the lowest one) comes out at 0.0 meV/atom. As for the uncorrected formation energy: -713 meV/atom. For the total moment, the calculation gives 0.0 μB/cell. For the total energy, the calculation gives -6.77 eV/atom.

=====

# 3
Pm8Ir2N | PBE | relaxed

It has space group C2/m (No. 12), with a = 22.015 Å, b = 3.822 Å, c = 7.493 Å, α = 90.00°, β = 94.23° and γ = 90.00°. Symmetry generates all atoms from Pm at (0.003, 0.000, 0.222), Pm at (0.111, 0.500, 0.513), Pm at (0.113, 0.500, 0.020), Pm at (0.238, 0.000, 0.717), Ir at (0.167, 0.000, 0.307) and N at (0.000, 0.500, 0.000).

As for the uncorrected formation energy: -521 meV/atom. For the total moment, the calculation gives 0.0 μB/cell. For the total energy, the calculation gives -6.34 eV/atom.

=====

# 4
Pm4Ir2N | PBE | relaxed

It has space group I4/mmm (No. 139), with a = 4.710 Å, b = 4.710 Å, c = 15.668 Å, α = 90.00°, β = 90.00° and γ = 90.00°. Symmetry generates all atoms from Pm at (0.000, 0.000, 0.188), Pm at (0.000, 0.500, 0.000), Ir at (0.000, 0.000, 0.363) and N at (0.000, 0.000, 0.500).

The polymorph energy (0 for the lowest one) comes out at 415.4 meV/atom. As for the uncorrected formation energy: -365 meV/atom. For the total moment, the calculation gives 0.0 μB/cell. For the total energy, the calculation gives -6.80 eV/atom.

=====

# 5
Pm4Ir2N | PBE | relaxed

It has space group C2/m (No. 12), with a = 12.729 Å, b = 3.777 Å, c = 8.097 Å, α = 90.00°, β = 124.19° and γ = 90.00°. Symmetry generates all atoms from Pm at (0.075, 0.000, 0.360), Pm at (0.160, 0.500, 0.069), Ir at (0.121, 0.500, 0.686) and N at (0.000, 0.000, 0.000).

The polymorph energy (0 for the lowest one) comes out at 0.0 meV/atom. As for the uncorrected formation energy: -781 meV/atom. For the total moment, the calculation gives 0.0 μB/cell. For the total energy, the calculation gives -7.22 eV/atom.

=====

# 6
Pm12Ir5N2 | PBE | relaxed

It has space group C2/m (No. 12), with a = 16.127 Å, b = 7.351 Å, c = 8.840 Å, α = 90.00°, β = 105.74° and γ = 90.00°. Symmetry generates all atoms from Pm at (0.001, 0.000, 0.300), Pm at (0.011, 0.500, 0.318), Pm at (0.150, 0.255, 0.068), Pm at (0.165, 0.241, 0.591), Ir at (0.000, 0.500, 0.000), Ir at (0.182, 0.000, 0.337), Ir at (0.192, 0.000, 0.852) and N at (0.000, 0.237, 0.500).

As for the uncorrected formation energy: -689 meV/atom. For the total moment, the calculation gives 0.0 μB/cell. For the total energy, the calculation gives -6.90 eV/atom.